# Tl7Sb3Pb

A relaxed structure of Tl7Sb3Pb (GGA-PBE, Alexandria).

N(E_F) (states/eV/f.u.): 5.05
Uncorrected energy (eV/atom): -2.9133

Structure (CIF):
```
data_Tl7Sb3Pb
_cell_length_a 4.7691
_cell_length_b 9.4325
_cell_length_c 9.4325
_cell_angle_alpha 120.00
_cell_angle_beta 90.00
_cell_angle_gamma 90.00
_space_group_name_H-M_alt 'P 1'
_space_group_IT_number 1
_space_group_name_Hall 'P 1'
loop_
_atom_site_label
_atom_site_fract_x
_atom_site_fract_y
_atom_site_fract_z
Sb1 0.8708 0.4808 0.9617
Sb2 0.8708 0.4808 0.5192
Sb3 0.8708 0.0383 0.5192
Tl1 0.0257 0.1222 0.8778
Tl2 0.4973 0.8171 0.6341
Tl3 0.0257 0.1222 0.2443
Tl4 0.0257 0.7557 0.8778
Tl5 0.4973 0.8171 0.1829
Tl6 0.4973 0.3659 0.1829
Tl7 0.0401 0.6667 0.3333
Pb1 0.3936 0.3333 0.6667
```